Below is crystalline Na4Ce3CrS8 at its relaxed geometry, with properties calculated at the GGA-PBE level.

Cell and atoms, written as POSCAR:
```
Na4Ce3CrS8
1.0
-0.5880 -7.7481 -1.9361
-0.1922 -1.9497 7.8609
-5.2901 5.2652 -2.9033
S Ce Na Cr
8 3 4 1
Direct
0.2322 0.7223 0.9901
0.2421 0.2777 0.0099
0.7579 0.7223 0.9901
0.2547 0.2640 0.5093
0.7678 0.2777 0.0099
0.2324 0.7225 0.4648
0.7453 0.7360 0.4907
0.7676 0.2775 0.5352
0.0000 0.5000 0.5000
0.5000 0.5000 0.0000
0.5000 0.5000 0.5000
0.0000 0.0000 0.0000
0.0000 0.0000 0.5000
0.5000 0.0000 0.5000
0.5000 0.0000 0.0000
0.0000 0.5000 0.0000
```

Properties
size of the total moment = 6.0 μB/cell
N(E_F) = 17.13 states/eV/f.u.
SG = R-3m



Below is crystalline Na3Ce2CrS6 at its relaxed geometry, with properties calculated at the GGA-PBE level.

Cell and atoms, written as POSCAR:
```
Na3Ce2CrS6
1.0
6.8540 -0.0071 0.0025
-3.4315 5.9331 0.0025
-1.1395 -1.9731 6.6521
Na S Ce Cr
3 6 2 1
Direct
0.1654 0.8346 0.5000
0.8346 0.1654 0.5000
0.5000 0.5000 0.5000
0.3881 0.0756 0.2252
0.0756 0.3881 0.2252
0.9244 0.6119 0.7748
0.7653 0.7653 0.2181
0.2347 0.2347 0.7819
0.6119 0.9244 0.7748
0.3327 0.6673 0.0000
0.6673 0.3327 0.0000
0.0000 0.0000 0.0000
```

Properties
size of the total moment = 5.0 μB/cell
N(E_F) = 13.44 states/eV/f.u.
SG = C2/m



Below is crystalline Na2Ce2CrS6 at its relaxed geometry, with properties calculated at the GGA-PBE level.

Cell and atoms, written as POSCAR:
```
Na2Ce2CrS6
1.0
6.7393 0.0349 0.0925
-3.3006 5.8758 0.0925
-1.1933 -2.0512 6.6644
S Ce Na Cr
6 2 2 1
Direct
0.2242 0.2242 0.2880
0.7758 0.7758 0.7120
0.9320 0.6262 0.2859
0.3738 0.0680 0.7141
0.6262 0.9320 0.2859
0.0680 0.3738 0.7141
0.6658 0.3342 0.5000
0.3342 0.6658 0.5000
0.1658 0.8342 0.0000
0.8342 0.1658 0.0000
0.0000 0.0000 0.5000
```

Properties
size of the total moment = 4.0 μB/cell
N(E_F) = 7.28 states/eV/f.u.
SG = C2/m



Below is crystalline Na3CeCr2Se6 at its relaxed geometry, with properties calculated at the GGA-PBE level.

Cell and atoms, written as POSCAR:
```
Na3CeCr2Se6
1.0
-2.3930 -1.9353 6.0347
6.5008 1.7879 -0.6574
-3.0683 6.6777 -0.3626
Se Cr Ce Na
6 2 1 3
Direct
0.9279 0.5626 0.7872
0.2935 0.2935 0.7873
0.7065 0.7065 0.2127
0.4374 0.0721 0.2128
0.5626 0.9279 0.7872
0.0721 0.4374 0.2128
0.3325 0.6675 0.0000
0.6675 0.3325 0.0000
0.0000 0.0000 0.0000
0.5000 0.5000 0.5000
0.1594 0.8406 0.5000
0.8406 0.1594 0.5000
```

Properties
size of the total moment = 7.0 μB/cell
N(E_F) = 6.57 states/eV/f.u.
SG = C2/m



Below is crystalline Na4Ce3CrSe8 at its relaxed geometry, with properties calculated at the GGA-PBE level.

Cell and atoms, written as POSCAR:
```
Na4Ce3CrSe8
1.0
8.3410 0.0000 0.0000
0.0000 8.4668 0.0799
-4.1705 -4.1658 5.9023
Se Na Ce Cr
8 4 3 1
Direct
0.7669 0.2747 0.5337
0.7594 0.7251 0.9923
0.7671 0.2749 0.0077
0.2406 0.2749 0.0077
0.7463 0.7388 0.4926
0.2329 0.7251 0.9923
0.2331 0.7253 0.4663
0.2537 0.2612 0.5074
0.0000 0.0000 0.5000
0.0000 0.0000 0.0000
0.5000 0.0000 0.0000
0.5000 0.0000 0.5000
0.5000 0.5000 0.5000
0.0000 0.5000 0.5000
0.5000 0.5000 0.0000
0.0000 0.5000 0.0000
```

Properties
size of the total moment = 6.0 μB/cell
N(E_F) = 17.79 states/eV/f.u.
SG = R-3m



Below is crystalline Na2CeCrSe4 at its relaxed geometry, with properties calculated at the GGA-PBE level.

Cell and atoms, written as POSCAR:
```
Na2CeCrSe4
1.0
-3.6286 0.2067 1.8445
1.6100 -5.4919 3.7828
2.1765 6.0559 3.6032
Na Ce Se Cr
2 1 4 1
Direct
0.5000 0.0000 0.5000
0.0000 0.5000 0.5000
0.5000 0.5000 0.0000
0.5000 0.2141 0.2117
0.5000 0.7859 0.7883
0.0000 0.2352 0.7714
0.0000 0.7648 0.2286
0.0000 0.0000 0.0000
```

Properties
size of the total moment = 4.0 μB/cell
N(E_F) = 6.01 states/eV/f.u.
SG = P2/m



Energy relative to the elements, uncorrected / eV/f.u.: -23.98; -17.11; -15.56; -12.65; -22.18; -9.34
E / eV per atom: -5.606; -5.610; -5.860; -5.225; -5.172; -5.184